# Cd2InHg5 GGA-PBE optimized geometry
# E = -0.746 eV per atom
data_Cd2InHg5
_chemical_formula_sum 'Cd2 In1 Hg5'
_symmetry_space_group_name_H-M 'P 1'
_symmetry_Int_Tables_number 1
_symmetry_space_group_name_Hall 'P 1'
_cell_length_a 6.469
_cell_length_b 6.469
_cell_length_c 6.469
_cell_angle_alpha 106.13
_cell_angle_beta 106.13
_cell_angle_gamma 116.38
loop_
_atom_site_label
_atom_site_fract_x
_atom_site_fract_y
_atom_site_fract_z
_atom_site_occupancy
Cd1 0.278 0.778 0.500 1
Cd2 0.778 0.278 0.500 1
In1 0.778 0.778 0.000 1
Hg1 0.278 0.278 0.500 1
Hg2 0.278 0.778 0.000 1
Hg3 0.778 0.278 0.000 1
Hg4 0.778 0.778 0.500 1
Hg5 0.278 0.277 0.000 1

# Li3Sb5 GGA-PBE optimized geometry
# raw formation energy = -0.223 eV/atom
# E = -3.517 eV per atom
data_Li3Sb5
_chemical_formula_sum 'Li3 Sb5'
_symmetry_space_group_name_H-M 'P 1'
_symmetry_Int_Tables_number 1
_symmetry_space_group_name_Hall 'P 1'
_cell_length_a 6.162
_cell_length_b 6.162
_cell_length_c 5.052
_cell_angle_alpha 90.00
_cell_angle_beta 90.00
_cell_angle_gamma 86.46
loop_
_atom_site_label
_atom_site_fract_x
_atom_site_fract_y
_atom_site_fract_z
_atom_site_occupancy
Li1 0.500 0.500 0.000 1
Li2 0.814 0.186 0.500 1
Li3 0.186 0.814 0.500 1
Sb1 0.000 0.000 0.000 1
Sb2 0.000 0.500 0.000 1
Sb3 0.500 0.000 0.000 1
Sb4 0.332 0.332 0.500 1
Sb5 0.668 0.668 0.500 1

# TbY14Cd GGA-PBE optimized geometry
# E = -6.024 eV per atom
data_TbY14Cd
_chemical_formula_sum 'Tb1 Y14 Cd1'
_symmetry_space_group_name_H-M 'P 1'
_symmetry_Int_Tables_number 1
_symmetry_space_group_name_Hall 'P 1'
_cell_length_a 7.207
_cell_length_b 7.207
_cell_length_c 11.293
_cell_angle_alpha 90.00
_cell_angle_beta 90.00
_cell_angle_gamma 119.93
loop_
_atom_site_label
_atom_site_fract_x
_atom_site_fract_y
_atom_site_fract_z
_atom_site_occupancy
Tb1 0.327 0.673 0.000 1
Y1 0.336 0.664 0.500 1
Y2 0.834 0.166 0.500 1
Y3 0.845 0.671 0.000 1
Y4 0.830 0.665 0.500 1
Y5 0.329 0.155 0.000 1
Y6 0.335 0.170 0.500 1
Y7 0.667 0.835 0.757 1
Y8 0.667 0.835 0.243 1
Y9 0.165 0.333 0.757 1
Y10 0.165 0.333 0.243 1
Y11 0.167 0.833 0.746 1
Y12 0.167 0.833 0.254 1
Y13 0.667 0.333 0.756 1
Y14 0.667 0.333 0.244 1
Cd1 0.833 0.167 0.000 1

| no. | magnetic moment (μB per atom) |
| --- | --- |
| 1 | 0.00 |
| 2 | 0.00 |
| 3 | 0.00 |